SrCo2W, optimized geometry, DFT PBE-GGA; space-group type = No. 122; electronic total energy = -6.31 eV/atom; DFT formation energy = 899 meV per atom; energy relative to the lowest polymorph listed for this composition = 0.552 eV/atom; V = 20.08 A^3/atom; ρ = 8050 kg/m³
1.0
-3.551 3.551 3.184
3.551 -3.551 3.184
3.551 3.551 -3.184
Sr Co W
2 4 2
direct
0.000 0.000 0.000
0.750 0.250 0.500
0.199 0.625 0.074
0.375 0.449 0.574
0.551 0.125 0.926
0.875 0.801 0.426
0.250 0.750 0.500
0.500 0.500 0.000

=====

SrCo2W, optimized geometry, DFT PBE-GGA; space-group type = No. 99; electronic total energy = -6.55 eV/atom; DFT formation energy = 663 meV per atom; energy relative to the lowest polymorph listed for this composition = 0.317 eV/atom; V = 17.81 A^3/atom; ρ = 9077 kg/m³
1.0
3.103 0.000 0.000
0.000 3.103 0.000
0.000 0.000 7.399
Sr Co W
1 2 1
direct
0.000 0.000 0.000
0.000 0.000 0.530
0.500 0.500 0.678
0.500 0.500 0.353

=====

SrCo2W, optimized geometry, DFT PBE-GGA; space-group type = No. 216; electronic total energy = -5.98 eV/atom; DFT formation energy = 1236 meV per atom; energy relative to the lowest polymorph listed for this composition = 0.889 eV/atom; V = 16.06 A^3/atom; ρ = 10064 kg/m³
1.0
0.000 3.179 3.179
3.179 0.000 3.179
3.179 3.179 0.000
Sr Co W
1 2 1
direct
0.000 0.000 0.000
0.250 0.250 0.250
0.500 0.500 0.500
0.750 0.750 0.750

=====

SrYCo, optimized geometry, DFT PBE-GGA; space-group type = No. 156; electronic total energy = -4.87 eV/atom; DFT formation energy = 210 meV per atom; energy relative to the lowest polymorph listed for this composition = 0.068 eV/atom; V = 30.56 A^3/atom; ρ = 4265 kg/m³
1.0
3.963 0.000 0.000
-1.981 3.432 0.000
0.000 0.000 6.742
Sr Y Co
1 1 1
direct
0.000 0.000 0.000
0.667 0.333 0.526
0.333 0.667 0.724

=====

Sr3YCo, optimized geometry, DFT PBE-GGA; space-group type = No. 221; electronic total energy = -2.27 eV/atom; DFT formation energy = 1448 meV per atom; energy relative to the lowest polymorph listed for this composition = 1.026 eV/atom; V = 52.55 A^3/atom; ρ = 2595 kg/m³
1.0
6.405 0.000 0.000
0.000 6.405 0.000
0.000 0.000 6.405
Sr Y Co
3 1 1
direct
0.000 0.000 0.500
0.000 0.500 0.000
0.500 0.000 0.000
0.000 0.000 0.000
0.500 0.500 0.500

=====

Sr4YCo, optimized geometry, DFT PBE-GGA; space-group type = No. 216; electronic total energy = -2.44 eV/atom; DFT formation energy = 944 meV per atom; V = 44.02 A^3/atom; ρ = 3133 kg/m³
1.0
0.000 5.092 5.092
5.092 0.000 5.092
5.092 5.092 0.000
Sr Y Co
4 1 1
direct
0.125 0.125 0.125
0.125 0.125 0.625
0.125 0.625 0.125
0.625 0.125 0.125
0.750 0.750 0.750
0.500 0.500 0.500

=====

Sr3YCo, optimized geometry, DFT PBE-GGA; space-group type = No. 221; electronic total energy = -3.30 eV/atom; DFT formation energy = 422 meV per atom; energy relative to the lowest polymorph listed for this composition = 0.000 eV/atom; V = 38.37 A^3/atom; ρ = 3554 kg/m³
1.0
5.768 0.000 0.000
0.000 5.768 0.000
0.000 0.000 5.768
Sr Y Co
3 1 1
direct
0.000 0.000 0.500
0.000 0.500 0.000
0.500 0.000 0.000
0.500 0.500 0.500
0.000 0.000 0.000

=====

SrY4Co, optimized geometry, DFT PBE-GGA; space-group type = No. 216; electronic total energy = -5.03 eV/atom; DFT formation energy = 747 meV per atom; V = 33.15 A^3/atom; ρ = 4192 kg/m³
1.0
0.000 4.633 4.633
4.633 0.000 4.633
4.633 4.633 0.000
Sr Y Co
1 4 1
direct
0.000 0.000 0.000
0.129 0.624 0.624
0.624 0.129 0.624
0.624 0.624 0.129
0.624 0.624 0.624
0.250 0.250 0.250

=====

SrYCo4, optimized geometry, DFT PBE-GGA; space-group type = No. 216; electronic total energy = -5.97 eV/atom; DFT formation energy = 128 meV per atom; V = 16.42 A^3/atom; ρ = 6950 kg/m³
1.0
0.000 3.665 3.665
3.665 0.000 3.665
3.665 3.665 0.000
Sr Y Co
1 1 4
direct
0.000 0.000 0.000
0.750 0.750 0.750
0.376 0.376 0.376
0.376 0.376 0.871
0.376 0.871 0.376
0.871 0.376 0.376

=====

SrYCo, optimized geometry, DFT PBE-GGA; space-group type = No. 216; electronic total energy = -4.77 eV/atom; DFT formation energy = 317 meV per atom; energy relative to the lowest polymorph listed for this composition = 0.176 eV/atom; V = 27.61 A^3/atom; ρ = 4720 kg/m³
1.0
0.000 3.460 3.460
3.460 0.000 3.460
3.460 3.460 0.000
Sr Y Co
1 1 1
direct
0.000 0.000 0.000
0.500 0.500 0.500
0.250 0.250 0.250

=====

Sr2YCo2, optimized geometry, DFT PBE-GGA; space-group type = No. 127; electronic total energy = -4.51 eV/atom; DFT formation energy = 296 meV per atom; V = 26.37 A^3/atom; ρ = 4812 kg/m³
1.0
7.332 0.000 0.000
0.000 7.332 0.000
0.000 0.000 4.905
Sr Y Co
4 2 4
direct
0.172 0.328 0.000
0.328 0.828 0.000
0.672 0.172 0.000
0.828 0.672 0.000
0.000 0.000 0.500
0.500 0.500 0.500
0.108 0.608 0.500
0.392 0.108 0.500
0.608 0.892 0.500
0.892 0.392 0.500

=====

SrYCo, optimized geometry, DFT PBE-GGA; space-group type = No. 107; electronic total energy = -4.94 eV/atom; DFT formation energy = 141 meV per atom; energy relative to the lowest polymorph listed for this composition = 0.000 eV/atom; V = 27.61 A^3/atom; ρ = 4720 kg/m³
1.0
-1.755 1.755 6.720
1.755 -1.755 6.720
1.755 1.755 -6.720
Sr Y Co
1 1 1
direct
0.000 0.000 0.000
0.252 0.252 0.000
0.651 0.651 0.000

=====

Which of these has the lowest ρ?
number 5